Material: MgCrNiP2
Method: DFT, GGA-PBE
State: relaxed Values from VASP.

Output
**ρ**: 3.7 Mg/m³
**Calculated formation energy**: 0.436 eV/atom

```
&SYSTEM
  ibrav = 0, nat = 5, ntyp = 4
/
ATOMIC_SPECIES
Mg 24.30 Mg.upf
Cr 52.00 Cr.upf
Ni 58.69 Ni.upf
P 30.97 P.upf
ATOMIC_POSITIONS crystal
Mg 0.0000 0.0000 0.0000
Cr 0.5000 0.5000 0.0000
Ni 0.0000 0.0000 0.5000
P 0.0000 0.5000 0.5000
P 0.5000 0.0000 0.5000
CELL_PARAMETERS angstrom
4.4091 0.0000 0.0000
0.0000 4.4091 0.0000
0.0000 0.0000 4.5249
```

***

Material: MgCrNiRu
Method: DFT, GGA-PBE
State: relaxed Values from VASP.

Output
**ρ**: 7.4 Mg/m³
**Calculated formation energy**: 0.029 eV/atom

```
&SYSTEM
  ibrav = 0, nat = 4, ntyp = 4
/
ATOMIC_SPECIES
Mg 24.30 Mg.upf
Cr 52.00 Cr.upf
Ni 58.69 Ni.upf
Ru 101.07 Ru.upf
ATOMIC_POSITIONS crystal
Mg 0.0000 0.0000 0.0000
Cr 0.5000 0.5000 0.5000
Ni 0.2500 0.2500 0.2500
Ru 0.7500 0.7500 0.7500
CELL_PARAMETERS angstrom
0.0000 2.9871 2.9871
2.9871 0.0000 2.9871
2.9871 2.9871 0.0000
```

***

Material: MgCrNiW2
Method: DFT, GGA-PBE
State: relaxed Values from VASP.

Output
**ρ**: 9.3 Mg/m³
**Calculated formation energy**: 2.488 eV/atom

```
&SYSTEM
  ibrav = 0, nat = 5, ntyp = 4
/
ATOMIC_SPECIES
Mg 24.30 Mg.upf
Cr 52.00 Cr.upf
Ni 58.69 Ni.upf
W 183.84 W.upf
ATOMIC_POSITIONS crystal
Mg 0.0000 0.0000 0.0000
Cr 0.0000 0.0000 0.5000
Ni 0.5000 0.5000 0.5000
W 0.0000 0.5000 0.0000
W 0.5000 0.0000 0.0000
CELL_PARAMETERS angstrom
4.5702 0.0000 0.0000
0.0000 4.5702 0.0000
0.0000 0.0000 4.3026
```

***

Question: The highest ρ belongs to which entry?
Answer: MgCrNiW2

***

Question: Which of these has the highest calculated formation energy?
Answer: MgCrNiW2

***

Question: Look up the ρ of the second one.
Answer: 7.4 Mg/m³

***

Question: Among the records above, which one has the highest ρ?
Answer: MgCrNiW2